Na2BeAg2 | PBE | optimized geometry

Values from the calculation:
Formation energy   0.189 eV per atom
Volume   203.4 Å³ per cell

a = 6.2219 Å, b = 6.2219 Å, c = 5.2536 Å
α = 90.00°, β = 90.00°, γ = 90.00°
Closest atoms and distances in Å follow each position.
Space group P4/mbm (No. 127)
Inequivalent atoms, fractional coordinates:
Na  0.1762  0.3238  0.0000 [4 per cell]  6 Ag 3.00-3.36, 5 Na 3.10-3.24
Be  0.0000  0.0000  0.5000 [2 per cell]  4 Ag 2.34
Ag  0.1589  0.6589  0.5000 [4 per cell]  2 Be 2.34

NaBeAg | PBE | optimized geometry

Values from the calculation:
Formation energy   0.177 eV per atom
Volume   114.5 Å³ per cell

a = 4.6730 Å, b = 4.6775 Å, c = 6.1106 Å
α = 106.43°, β = 110.78°, γ = 99.43°
Closest atoms and distances in Å follow each position.
Space group P-1 (No. 2)
Inequivalent atoms, fractional coordinates:
Na  0.2495  0.2492  0.0001 [2 per cell]  2 Na 3.01-3.03, 4 Ag 3.08, 4 Be 3.15-3.31
Be  0.1808  0.6807  0.4999 [2 per cell]  1 Be 2.19, 4 Ag 2.39-2.42
Ag  0.3045  0.1993  0.5041 [2 per cell]  4 Be 2.39-2.42

NaBe2Ag | PBE | optimized geometry

Values from the calculation:
Formation energy   0.530 eV per atom
Volume   224.2 Å³ per cell

a = 6.0753 Å, b = 6.0753 Å, c = 6.0753 Å
α = 90.00°, β = 90.00°, γ = 90.00°
Closest atoms and distances in Å follow each position.
Space group Fm-3m (No. 225)
Inequivalent atoms, fractional coordinates:
Na  0.0000  0.0000  0.0000 [4 per cell]  8 Be 2.63
Be  0.2500  0.2500  0.2500 [8 per cell]  4 Na 2.63, 4 Ag 2.63
Ag  0.0000  0.0000  0.5000 [4 per cell]  8 Be 2.63

NaBeAg | PBE | optimized geometry

Values from the calculation:
Formation energy   0.182 eV per atom
Volume   114.8 Å³ per cell

a = 3.9258 Å, b = 5.5100 Å, c = 5.6874 Å
α = 96.71°, β = 109.87°, γ = 90.05°
Closest atoms and distances in Å follow each position.
Space group P1 (No. 1)
Inequivalent atoms, fractional coordinates:
Na  0.0000  0.0000  0.0000 [1 per cell]  5 Ag 2.94-3.27, 2 Be 3.12-3.27
Na  0.4607  0.4881  0.9199 [1 per cell]  2 Be 2.78-3.00
Be  0.2021  0.4990  0.4020 [1 per cell]  2 Be 2.26, 3 Ag 2.38-2.40
Be  0.7334  0.6992  0.4652 [1 per cell]  2 Be 2.26, 3 Ag 2.34-2.39
Ag  0.2688  0.9303  0.5363 [1 per cell]  3 Be 2.34-2.40
Ag  0.7205  0.2624  0.4391 [1 per cell]  3 Be 2.38-2.39

NaBe2Ag2 | PBE | optimized geometry

Values from the calculation:
Formation energy   0.175 eV per atom
Volume   148.8 Å³ per cell

a = 7.3502 Å, b = 7.3502 Å, c = 2.7540 Å
α = 90.00°, β = 90.00°, γ = 90.00°
Closest atoms and distances in Å follow each position.
Space group P4/mbm (No. 127)
Inequivalent atoms, fractional coordinates:
Na  0.0000  0.0000  0.0000 [2 per cell]  2 Na 2.75, 4 Be 2.98, 8 Ag 3.03
Be  0.1090  0.3910  0.0000 [4 per cell]  1 Be 2.27
Ag  0.1808  0.6808  0.5000 [4 per cell]  6 Be 2.58-2.59, 2 Ag 2.75

NaBeAg | PBE | optimized geometry

Values from the calculation:
Formation energy   0.185 eV per atom
Volume   115.4 Å³ per cell

a = 5.5236 Å, b = 3.9842 Å, c = 5.5952 Å
α = 90.00°, β = 110.35°, γ = 90.00°
Closest atoms and distances in Å follow each position.
Space group P2_1/m (No. 11)
Inequivalent atoms, fractional coordinates:
Na  0.2489  0.2500  0.0024 [2 per cell]  2 Be 2.79-3.07, 1 Ag 3.10
Be  0.4161  0.2500  0.5334 [2 per cell]  2 Be 2.28, 3 Ag 2.36-2.37
Ag  0.1820  0.7500  0.5292 [2 per cell]  3 Be 2.36-2.37

NaBeAg2 | PBE | optimized geometry

Values from the calculation:
Formation energy   0.108 eV per atom
Volume   67.9 Å³ per cell

a = 2.9435 Å, b = 2.9435 Å, c = 7.8316 Å
α = 90.00°, β = 90.00°, γ = 90.00°
Closest atoms and distances in Å follow each position.
Space group P4/mmm (No. 123)
Inequivalent atoms, fractional coordinates:
Na  0.0000  0.0000  0.0000 [1 per cell]  4 Na 2.94, 8 Ag 3.21
Be  0.0000  0.0000  0.5000 [1 per cell]  8 Ag 2.55
Ag  0.5000  0.5000  0.3128 [2 per cell]  4 Be 2.55

Na3BeAg | PBE | optimized geometry

Values from the calculation:
Formation energy   0.696 eV per atom
Volume   168.9 Å³ per cell

a = 5.5281 Å, b = 5.5281 Å, c = 5.5281 Å
α = 90.00°, β = 90.00°, γ = 90.00°
Closest atoms and distances in Å follow each position.
Space group Pm-3m (No. 221)
Inequivalent atoms, fractional coordinates:
Na  0.0000  0.0000  0.5000 [3 per cell]  2 Ag 2.76
Be  0.5000  0.5000  0.5000 [1 per cell]  12 Na 3.91
Ag  0.0000  0.0000  0.0000 [1 per cell]  6 Na 2.76

NaBeAg | PBE | optimized geometry

Values from the calculation:
Formation energy   0.249 eV per atom
Volume   56.5 Å³ per cell

a = 3.0482 Å, b = 3.4624 Å, c = 5.8112 Å
α = 107.25°, β = 104.42°, γ = 90.01°
Closest atoms and distances in Å follow each position.
Space group P1 (No. 1)
Inequivalent atoms, fractional coordinates:
Na  0.0000  0.0000  0.0000 [1 per cell]  1 Be 2.92, 1 Ag 2.98, 2 Na 3.05
Be  0.2680  0.2734  0.5448 [1 per cell]  4 Ag 2.37
Ag  0.7190  0.7225  0.4432 [1 per cell]  4 Be 2.37

NaBeAg | PBE | optimized geometry

Values from the calculation:
Formation energy   0.176 eV per atom
Volume   112.8 Å³ per cell

a = 4.6560 Å, b = 4.6567 Å, c = 5.5341 Å
α = 76.48°, β = 77.14°, γ = 79.97°
Closest atoms and distances in Å follow each position.
Space group P1 (No. 1)
Inequivalent atoms, fractional coordinates:
Na  0.0000  0.0000  0.0000 [1 per cell]  3 Be 2.81-3.11, 2 Na 2.98-3.01, 2 Ag 3.13-3.14
Na  0.4971  0.5015  0.9982 [1 per cell]  3 Be 2.80-3.12, 2 Na 2.98-3.01, 1 Ag 3.13
Be  0.2079  0.0653  0.4745 [1 per cell]  1 Be 2.17, 4 Ag 2.39-2.42
Be  0.5705  0.7038  0.4725 [1 per cell]  1 Be 2.17, 4 Ag 2.39-2.42
Ag  0.0782  0.5731  0.5176 [1 per cell]  4 Be 2.39-2.42
Ag  0.6802  0.1753  0.5147 [1 per cell]  4 Be 2.39-2.41

NaBe3Ag | PBE | optimized geometry

Values from the calculation:
Formation energy   1.780 eV per atom
Volume   84.9 Å³ per cell

a = 4.3950 Å, b = 4.3950 Å, c = 4.3950 Å
α = 90.00°, β = 90.00°, γ = 90.00°
Closest atoms and distances in Å follow each position.
Space group Pm-3m (No. 221)
Inequivalent atoms, fractional coordinates:
Na  0.0000  0.0000  0.0000 [1 per cell]  6 Be 2.20
Be  0.0000  0.0000  0.5000 [3 per cell]  2 Na 2.20
Ag  0.5000  0.5000  0.5000 [1 per cell]  12 Be 3.11

NaBe2Ag | PBE | optimized geometry

Values from the calculation:
Formation energy   0.533 eV per atom
Volume   314.1 Å³ per cell

a = 4.3443 Å, b = 4.3443 Å, c = 16.6419 Å
α = 90.00°, β = 90.00°, γ = 90.00°
Closest atoms and distances in Å follow each position.
Space group I4_1/amd (No. 141, origin choice 2)
Inequivalent atoms, fractional coordinates:
Na  0.0000  0.2500  0.3750 [4 per cell]  4 Ag 3.07, 8 Be 3.20
Be  0.0000  0.0000  0.0000 [8 per cell]  2 Be 2.17, 2 Ag 2.35
Ag  0.0000  0.2500  0.8750 [4 per cell]  4 Be 2.35

NaBeAg2 | PBE | optimized geometry

Values from the calculation:
Formation energy   0.430 eV per atom
Volume   427.0 Å³ per cell

a = 5.2887 Å, b = 5.2887 Å, c = 15.2676 Å
α = 90.00°, β = 90.00°, γ = 90.00°
Closest atoms and distances in Å follow each position.
Space group I4_1/amd (No. 141, origin choice 2)
Inequivalent atoms, fractional coordinates:
Na  0.0000  0.2500  0.3750 [4 per cell]  8 Ag 3.52, 4 Be 3.74
Be  0.0000  0.2500  0.8750 [4 per cell]  4 Ag 2.32
Ag  0.0000  0.0000  0.0000 [8 per cell]  2 Be 2.32

NaBe3Ag | PBE | optimized geometry

Values from the calculation:
Formation energy   0.712 eV per atom
Volume   87.2 Å³ per cell

a = 4.4338 Å, b = 4.4338 Å, c = 4.4338 Å
α = 90.00°, β = 90.00°, γ = 90.00°
Closest atoms and distances in Å follow each position.
Space group Pm-3m (No. 221)
Inequivalent atoms, fractional coordinates:
Na  0.0000  0.0000  0.0000 [1 per cell]  12 Be 3.14
Be  0.0000  0.5000  0.5000 [3 per cell]  2 Ag 2.22
Ag  0.5000  0.5000  0.5000 [1 per cell]  6 Be 2.22